Entry 1:
# Nd4Ho3Er2 GGA-PBE relaxed
data_Nd4Ho3Er2
_space_group_name_H-M_alt 'P 1'
_space_group_IT_number 1
_space_group_name_Hall 'P 1'
_cell_length_a 3.6060
_cell_length_b 3.6060
_cell_length_c 26.6177
_cell_angle_alpha 90.00
_cell_angle_beta 90.00
_cell_angle_gamma 120.00
loop_
_atom_site_label
_atom_site_fract_x
_atom_site_fract_y
_atom_site_fract_z
Nd1 0.0000 0.0000 0.5475
Nd2 0.6667 0.3333 0.4313
Nd3 0.6667 0.3333 0.2142
Nd4 0.0000 0.0000 0.7666
Ho1 0.0000 0.0000 0.9805
Ho2 0.0000 0.0000 0.3212
Ho3 0.6667 0.3333 0.6564
Er1 0.6667 0.3333 0.0834
Er2 0.6667 0.3333 0.8760
# - Excess energy over the best structure of this formula in the dataset: 40 meV per atom
# - Calculated formation energy: 51.1 kJ/mol of formula units


Entry 2:
# NaPu GGA-PBE relaxed
data_NaPu
_space_group_name_H-M_alt 'P 1'
_space_group_IT_number 1
_space_group_name_Hall 'P 1'
_cell_length_a 7.6501
_cell_length_b 7.6501
_cell_length_c 7.6501
_cell_angle_alpha 106.69
_cell_angle_beta 106.69
_cell_angle_gamma 106.69
loop_
_atom_site_label
_atom_site_fract_x
_atom_site_fract_y
_atom_site_fract_z
Na1 0.1678 0.4593 0.4160
Na2 0.4593 0.4160 0.1678
Na3 0.4160 0.1678 0.4593
Na4 0.8322 0.5407 0.5840
Na5 0.5407 0.5840 0.8322
Na6 0.5840 0.8322 0.5407
Pu1 0.0381 0.1959 0.7008
Pu2 0.1959 0.7008 0.0381
Pu3 0.7008 0.0381 0.1959
Pu4 0.9619 0.8041 0.2992
Pu5 0.8041 0.2992 0.9619
Pu6 0.2992 0.9619 0.8041
# - Calculated formation energy: 119.4 kJ/mol of formula units


Entry 3:
# BTe2AuI GGA-PBE relaxed
data_BTe2AuI
_space_group_name_H-M_alt 'P 1'
_space_group_IT_number 1
_space_group_name_Hall 'P 1'
_cell_length_a 5.4659
_cell_length_b 5.4659
_cell_length_c 5.6458
_cell_angle_alpha 90.00
_cell_angle_beta 90.00
_cell_angle_gamma 90.00
loop_
_atom_site_label
_atom_site_fract_x
_atom_site_fract_y
_atom_site_fract_z
I1 0.0000 0.0000 0.5000
B1 0.5000 0.5000 0.5000
Te1 0.0000 0.5000 0.0000
Te2 0.5000 0.0000 0.0000
Au1 0.0000 0.0000 0.0000
# - Excess energy over the best structure of this formula in the dataset: 410 meV per atom
# - Formation energy without anion corrections: 1.31 eV per atom


Entry 4:
# Hf2Fe2Hg GGA-PBE relaxed
data_Hf2Fe2Hg
_space_group_name_H-M_alt 'P 1'
_space_group_IT_number 1
_space_group_name_Hall 'P 1'
_cell_length_a 7.6261
_cell_length_b 7.6261
_cell_length_c 3.0211
_cell_angle_alpha 90.00
_cell_angle_beta 90.00
_cell_angle_gamma 90.00
loop_
_atom_site_label
_atom_site_fract_x
_atom_site_fract_y
_atom_site_fract_z
Hf1 0.3562 0.8562 0.0000
Hf2 0.8562 0.6438 0.0000
Hf3 0.6438 0.1438 0.0000
Hf4 0.1438 0.3562 0.0000
Hg1 0.0000 0.0000 0.0000
Hg2 0.5000 0.5000 0.0000
Fe1 0.1449 0.6449 0.5000
Fe2 0.6449 0.8551 0.5000
Fe3 0.8551 0.3551 0.5000
Fe4 0.3551 0.1449 0.5000
# - Excess energy over the best structure of this formula in the dataset: 343 meV per atom
# - Calculated formation energy: 112.5 kJ/mol of formula units